No. 1
The following is a GGA-PBE calculation of crystalline LiRuCl3 at its relaxed geometry, from the Alexandria database.

Uncorrected formation energy = -2.6 eV/f.u.
Fermi-level density of states = 1.669 states/eV/atom
Excess energy over the best structure of this formula in the dataset = 0 meV/atom
Crystal system = cubic

Lattice parameters (Å, degrees): 4.8504 4.8504 4.8504 90.00 90.00 90.00
Space group Pm-3m (No. 221)
Unique sites:
Li 0.0000 0.0000 0.0000
Ru 0.5000 0.5000 0.5000
Cl 0.0000 0.5000 0.5000

---

No. 2
The following is a GGA-PBE calculation of crystalline Sr2Cu at its relaxed geometry, from the Alexandria database.

ΔE_f = 0.0744 eV/atom
Fermi-level density of states = 1.163 states/eV/atom
Crystal system = orthorhombic

Lattice parameters (Å, degrees): 3.9164 19.0919 5.7675 90.00 90.00 90.00
Space group Cmcm (No. 63)
Unique sites:
Sr 0.0000 0.0661 0.2500
Sr 0.0000 0.1974 0.7500
Cu 0.0000 0.4330 0.2500

---

No. 3
The following is a GGA-PBE calculation of crystalline KNi at its relaxed geometry, from the Alexandria database.

ΔE_f = 0.5854 eV/atom
Fermi-level density of states = 1.326 states/eV/atom
Excess energy over the best structure of this formula in the dataset = 73 meV/atom
Crystal system = trigonal

Lattice parameters (Å, degrees): 3.8808 3.8808 9.7932 90.00 90.00 120.00
Space group P-3m1 (No. 164)
Unique sites:
K 0.3333 0.6667 0.2160
Ni 0.3333 0.6667 0.5204

---

No. 4
The following is a GGA-PBE calculation of crystalline UAgSb at its relaxed geometry, from the Alexandria database.

Uncorrected formation energy = 0.3 eV/f.u.
Fermi-level density of states = 1.812 states/eV/atom
Crystal system = trigonal

Lattice parameters (Å, degrees): 4.7683 4.7683 23.1623 90.00 90.00 120.00
Space group R-3m (No. 166, hexagonal axes)
Unique sites:
U 0.0000 0.0000 0.1649
Ag 0.0000 0.0000 0.3023
Sb 0.0000 0.0000 0.4237

---

No. 5
The following is a GGA-PBE calculation of crystalline CdCoRe2Rh at its relaxed geometry, from the Alexandria database.

ΔE_f = 1.8388 eV/atom
Fermi-level density of states = 1.190 states/eV/atom
Crystal system = tetragonal

Lattice parameters (Å, degrees): 4.7004 4.7004 4.5884 90.00 90.00 90.00
Space group P4/mmm (No. 123)
Unique sites:
Cd 0.0000 0.0000 0.0000
Co 0.5000 0.5000 0.0000
Re 0.0000 0.5000 0.5000
Rh 0.5000 0.5000 0.5000

---

No. 6
The following is a GGA-PBE calculation of crystalline KZr2NbF at its relaxed geometry, from the Alexandria database.

Uncorrected formation energy = 0.1 eV/f.u.
Fermi-level density of states = 1.180 states/eV/atom
Crystal system = tetragonal

Lattice parameters (Å, degrees): 4.6925 4.6925 4.6860 90.00 90.00 90.00
Space group P4/mmm (No. 123)
Unique sites:
K 0.0000 0.0000 0.0000
Zr 0.0000 0.5000 0.5000
Nb 0.5000 0.5000 0.0000
F 0.0000 0.0000 0.5000

---

No. 7
The following is a GGA-PBE calculation of crystalline Pr5SiGe2 at its relaxed geometry, from the Alexandria database.

Uncorrected formation energy = -5.1 eV/f.u.
Fermi-level density of states = 1.004 states/eV/atom
Crystal system = orthorhombic

Lattice parameters (Å, degrees): 6.7803 15.4253 8.8943 90.00 90.00 90.00
Space group Amm2 (No. 38)
Unique sites:
Pr 0.0000 0.0000 0.0000
Pr 0.0000 0.1238 0.3719
Pr 0.2526 0.1677 0.7470
Pr 0.5000 0.0000 0.4925
Pr 0.5000 0.1239 0.1249
Si 0.5000 0.1962 0.4439
Ge 0.0000 0.0000 0.6398
Ge 0.0000 0.1959 0.0513
Ge 0.5000 0.0000 0.8552

---

No. 8
The following is a GGA-PBE calculation of crystalline Zr2Be3Pt2 at its relaxed geometry, from the Alexandria database.

ΔE_f = -0.6567 eV/atom
Fermi-level density of states = 0.759 states/eV/atom
Crystal system = monoclinic

Lattice parameters (Å, degrees): 9.2393 4.0764 5.9738 90.00 112.56 90.00
Space group C2/m (No. 12)
Unique sites:
Zr 0.1532 0.0000 0.2512
Be 0.0000 0.5000 0.5000
Be 0.1038 0.5000 0.9269
Pt 0.1384 0.0000 0.7176

---

No. 9
The following is a GGA-PBE calculation of crystalline ThSc3Ge2 at its relaxed geometry, from the Alexandria database.

ΔE_f = -0.5615 eV/atom
Fermi-level density of states = 1.204 states/eV/atom
Crystal system = monoclinic

Lattice parameters (Å, degrees): 16.7277 4.2227 8.5423 90.00 112.87 90.00
Space group C2/m (No. 12)
Unique sites:
Th 0.1178 0.0000 0.1481
Sc 0.0572 0.0000 0.6927
Sc 0.1427 0.5000 0.4879
Sc 0.1908 0.5000 0.8916
Ge 0.0159 0.5000 0.8554
Ge 0.2357 0.0000 0.7093

---

No. 10
The following is a GGA-PBE calculation of crystalline KYIr2 at its relaxed geometry, from the Alexandria database.

ΔE_f = 0.3903 eV/atom
Fermi-level density of states = 0.524 states/eV/atom
Excess energy over the best structure of this formula in the dataset = 330 meV/atom
Crystal system = tetragonal

Lattice parameters (Å, degrees): 4.4517 4.4517 8.2401 90.00 90.00 90.00
Space group I4/mmm (No. 139)
Unique sites:
K 0.0000 0.0000 0.0000
Y 0.0000 0.0000 0.5000
Ir 0.0000 0.5000 0.2500

---

No. 11
The following is a GGA-PBE calculation of crystalline Dy3TmCd6 at its relaxed geometry, from the Alexandria database.

ΔE_f = -0.2842 eV/atom
Fermi-level density of states = 0.729 states/eV/atom
Crystal system = monoclinic

Lattice parameters (Å, degrees): 9.1556 5.1369 10.9996 90.00 105.40 90.00
Space group P2_1/m (No. 11)
Unique sites:
Dy 0.0299 0.2500 0.3934
Dy 0.1499 0.7500 0.2098
Dy 0.2601 0.2500 0.0018
Tm 0.4461 0.2500 0.6039
Cd 0.0498 0.7500 0.9065
Cd 0.1625 0.2500 0.7061
Cd 0.2622 0.7500 0.5066
Cd 0.3541 0.2500 0.3066
Cd 0.3554 0.7500 0.8091
Cd 0.4494 0.7500 0.1052

---

No. 12
The following is a GGA-PBE calculation of crystalline Ag2GeAu2 at its relaxed geometry, from the Alexandria database.

ΔE_f = 0.0312 eV/atom
Fermi-level density of states = 0.298 states/eV/atom
Excess energy over the best structure of this formula in the dataset = 1 meV/atom
Crystal system = monoclinic

Lattice parameters (Å, degrees): 9.7344 5.2142 7.7797 90.00 113.41 90.00
Space group C2/c (No. 15)
Unique sites:
Ag 0.1005 0.1570 0.4478
Ge 0.0000 0.3544 0.7500
Au 0.2000 0.3329 0.1508